Record 1
Material: Mg2MoAs
Method: DFT, PBE-GGA
State: optimized geometry

a = 9.280 Å, b = 9.280 Å, c = 9.280 Å
α = 18.78°, β = 18.78°, γ = 18.78°
Atoms (fractional coordinates):
1 Mg 0.250 0.250 0.250
2 Mg 0.750 0.750 0.750
3 Mo 0.000 0.000 0.000
4 As 0.500 0.500 0.500

Computed properties:
formation energy	4.34	kcal/mol of atoms
SG	No. 166

Record 2
Material: NaPr2Al
Method: DFT, PBE-GGA
State: optimized geometry

a = 5.473 Å, b = 5.473 Å, c = 5.473 Å
α = 60.00°, β = 60.00°, γ = 60.00°
Atoms (fractional coordinates):
1 Na 0.000 0.000 0.000
2 Pr 0.250 0.250 0.250
3 Pr 0.750 0.750 0.750
4 Al 0.500 0.500 0.500

Computed properties:
formation energy	-1.42	kcal/mol of atoms
SG	No. 225
distance to the lowest polymorph of the same formula	0.0279	eV per atom

Record 3
Material: Sr2MgHgRh
Method: DFT, PBE-GGA
State: optimized geometry

a = 5.783 Å, b = 5.783 Å, c = 4.986 Å
α = 90.00°, β = 90.00°, γ = 90.00°
Atoms (fractional coordinates):
1 Sr 0.000 0.500 0.000
2 Sr 0.500 0.000 0.000
3 Mg 0.000 0.000 0.500
4 Hg 0.500 0.500 0.500
5 Rh 0.000 0.000 0.000

Computed properties:
formation energy	-5.70	kcal/mol of atoms
SG	No. 123

Record 4
Material: BaScW2
Method: DFT, PBE-GGA
State: optimized geometry

a = 4.029 Å, b = 4.029 Å, c = 5.305 Å
α = 90.00°, β = 90.00°, γ = 90.00°
Atoms (fractional coordinates):
1 Ba 0.000 0.000 0.000
2 Sc 0.500 0.500 0.000
3 W 0.000 0.500 0.500
4 W 0.500 0.000 0.500

Computed properties:
formation energy	30.38	kcal/mol of atoms
SG	No. 123
distance to the lowest polymorph of the same formula	0.8076	eV per atom

Record 5
Material: Cs3RbMg2F9
Method: DFT, PBE-GGA
State: optimized geometry

a = 6.285 Å, b = 6.285 Å, c = 8.180 Å
α = 90.00°, β = 90.00°, γ = 120.00°
Atoms (fractional coordinates):
1 Cs 0.000 0.000 0.000
2 Cs 0.333 0.667 0.675
3 Cs 0.667 0.333 0.325
4 Rb 0.000 0.000 0.500
5 Mg 0.333 0.667 0.134
6 Mg 0.667 0.333 0.866
7 F 0.000 0.500 0.000
8 F 0.188 0.376 0.284
9 F 0.188 0.812 0.284
10 F 0.376 0.188 0.716
11 F 0.500 0.000 0.000
12 F 0.500 0.500 0.000
13 F 0.624 0.812 0.284
14 F 0.812 0.188 0.716
15 F 0.812 0.624 0.716

Computed properties:
SG	No. 164
formation energy (no corrections)	-2.87	eV per atom

Record 6
Material: KZnPb2
Method: DFT, PBE-GGA
State: optimized geometry

a = 10.499 Å, b = 10.499 Å, c = 10.499 Å
α = 148.39°, β = 148.39°, γ = 45.31°
Atoms (fractional coordinates):
1 K 0.000 0.000 0.000
2 K 0.750 0.250 0.500
3 Zn 0.250 0.750 0.500
4 Zn 0.500 0.500 0.000
5 Pb 0.275 0.625 0.150
6 Pb 0.375 0.525 0.650
7 Pb 0.475 0.125 0.850
8 Pb 0.875 0.725 0.350

Computed properties:
formation energy	3.44	kcal/mol of atoms
SG	No. 122
distance to the lowest polymorph of the same formula	0.1852	eV per atom

Record 7
Material: Rb2RuC
Method: DFT, PBE-GGA
State: optimized geometry

a = 8.999 Å, b = 8.999 Å, c = 8.999 Å
α = 92.63°, β = 92.63°, γ = 155.25°
Atoms (fractional coordinates):
1 Rb 0.375 0.096 0.221
2 Rb 0.846 0.625 0.721
3 Rb 0.875 0.154 0.779
4 Rb 0.904 0.125 0.279
5 Ru 0.250 0.750 0.500
6 Ru 0.500 0.500 0.000
7 C 0.000 0.000 0.000
8 C 0.750 0.250 0.500

Computed properties:
formation energy	19.86	kcal/mol of atoms
SG	No. 122

Record 8
Material: Li2SiOsRu
Method: DFT, PBE-GGA
State: optimized geometry

a = 4.220 Å, b = 4.220 Å, c = 4.406 Å
α = 90.00°, β = 90.00°, γ = 90.00°
Atoms (fractional coordinates):
1 Li 0.000 0.500 0.000
2 Li 0.500 0.000 0.000
3 Si 0.000 0.000 0.000
4 Os 0.500 0.500 0.500
5 Ru 0.000 0.000 0.500

Computed properties:
SG	No. 123
formation energy (no corrections)	1.01	eV per atom

Number 1: total DFT energy (no corrections) -17.92 eV/cell. Number 2: total DFT energy (no corrections) -14.87 eV/cell. Number 3: total DFT energy (no corrections) -13.85 eV/cell. Number 4: total DFT energy (no corrections) -28.89 eV/cell. Number 5: total DFT energy (no corrections) -66.58 eV/cell. Number 6: total DFT energy (no corrections) -18.38 eV/cell. Number 7: total DFT energy (no corrections) -33.98 eV/cell. Number 8: total DFT energy (no corrections) -24.69 eV/cell.